[1]
DFT (PBE) results for PmYHo5Tm2 after structural relaxation.

a = 5.570 Å, b = 10.218 Å, c = 10.564 Å
α = 90.00°, β = 90.00°, γ = 105.82°
Element x y z (fractional)
Ho 0.701 0.402 0.210
Ho 0.282 0.565 0.310
Ho 0.522 0.043 0.237
Ho 0.389 0.779 0.023
Ho 0.478 0.957 0.737
Ho 0.718 0.435 0.810
Ho 0.018 0.036 0.025
Ho 0.982 0.964 0.525
Ho 0.611 0.221 0.523
Ho 0.299 0.598 0.710
Tm 0.890 0.780 0.236
Tm 0.110 0.220 0.736
Tm 0.886 0.773 0.819
Tm 0.114 0.227 0.319
Pm 0.416 0.832 0.452
Pm 0.584 0.168 0.952
Y 0.200 0.401 0.012
Y 0.800 0.599 0.512

Output
Total energy   -0.1698 hartree per atom
SG   Cmc2_1, No. 36

=====

[2]
DFT (PBE) results for BaPaSeO2 after structural relaxation.

a = 6.232 Å, b = 6.232 Å, c = 7.587 Å
α = 114.25°, β = 114.25°, γ = 90.00°
Element x y z (fractional)
Pa 0.504 0.504 0.007
Pa 0.004 0.004 0.007
O 0.718 0.718 0.935
O 0.718 0.218 0.935
O 0.218 0.718 0.935
O 0.218 0.218 0.935
Se 0.740 0.740 0.479
Se 0.240 0.240 0.479
Ba 0.322 0.822 0.644
Ba 0.822 0.322 0.644

Output
Raw formation energy   -2.744 eV per atom
Total energy   -0.2833 hartree per atom
SG   P4mm, No. 99

=====

[3]
DFT (PBE) results for NbZnOsW2 after structural relaxation.

a = 4.688 Å, b = 4.682 Å, c = 4.688 Å
α = 90.00°, β = 90.00°, γ = 90.00°
Element x y z (fractional)
W 0.500 0.000 0.000
W 0.000 0.000 0.500
Zn 0.000 0.500 0.000
Os 0.500 0.500 0.500
Nb 0.000 0.000 0.000

Output
Total energy   -0.2653 hartree per atom
SG   P4/mmm, No. 123

=====

[4]
DFT (PBE) results for Tm8Al3In2 after structural relaxation.

a = 5.308 Å, b = 8.103 Å, c = 9.141 Å
α = 116.31°, β = 89.98°, γ = 90.00°
Element x y z (fractional)
Tm 0.000 0.897 0.795
Tm 0.500 0.605 0.788
Tm 0.999 0.679 0.358
Tm 0.001 0.321 0.642
Tm 0.500 0.183 0.788
Tm 0.500 0.817 0.212
Tm 0.000 0.103 0.205
Tm 0.500 0.395 0.212
Al 0.000 0.331 0.000
Al 0.000 0.669 0.000
Al 0.500 0.000 0.000
In 0.499 0.773 0.545
In 0.501 0.227 0.455

Output
Total energy   -0.1534 hartree per atom
SG   C2/m, No. 12

=====

[5]
DFT (PBE) results for CaAg2Pb after structural relaxation.

a = 10.042 Å, b = 10.042 Å, c = 10.042 Å
α = 19.80°, β = 19.80°, γ = 19.80°
Element x y z (fractional)
Ag 0.998 0.998 0.998
Ag 0.502 0.502 0.502
Pb 0.750 0.750 0.750
Ca 0.250 0.250 0.250

Output
Total energy   -0.1033 hartree per atom
SG   R-3m, No. 166

=====

[6]
DFT (PBE) results for SiSbRh2 after structural relaxation.

a = 2.998 Å, b = 2.942 Å, c = 7.472 Å
α = 89.97°, β = 90.00°, γ = 90.00°
Element x y z (fractional)
Rh 0.000 0.250 0.933
Rh 0.000 0.250 0.567
Sb 0.500 0.250 0.250
Si 0.500 0.750 0.750

Output
Raw formation energy   -0.495 eV per atom
ΔE to the lowest computed polymorph   0.000 eV/atom
Total energy   -0.2410 hartree per atom
SG   Pmmm, No. 47

=====

[7]
DFT (PBE) results for IrW2Au after structural relaxation.

a = 6.174 Å, b = 4.962 Å, c = 2.784 Å
α = 89.92°, β = 63.34°, γ = 119.75°
Element x y z (fractional)
W 0.000 0.000 0.000
W 0.500 0.000 0.500
Au 0.000 0.500 0.500
Ir 0.500 0.500 0.000

Output
ΔE to the lowest computed polymorph   0.046 eV/atom
Total energy   -0.3441 hartree per atom
SG   C2/m, No. 12

=====

[8]
DFT (PBE) results for Ac2SmAl after structural relaxation.

a = 3.893 Å, b = 3.893 Å, c = 11.419 Å
α = 80.19°, β = 80.19°, γ = 60.00°
Element x y z (fractional)
Ac 0.740 0.740 0.779
Ac 0.260 0.260 0.221
Sm 0.500 0.500 0.500
Al 0.000 0.000 0.000

Output
ΔE to the lowest computed polymorph   0.139 eV/atom
Total energy   -0.1507 hartree per atom
SG   R-3m, No. 166

=====

[9]
DFT (PBE) results for ScBiIN2 after structural relaxation.

a = 4.364 Å, b = 4.364 Å, c = 6.124 Å
α = 90.00°, β = 90.00°, γ = 90.00°
Element x y z (fractional)
Sc 0.500 0.500 0.500
N 0.500 0.000 0.000
N 0.000 0.500 0.000
Bi 0.000 0.000 0.000
I 0.000 0.000 0.500

Output
Raw formation energy   1.282 eV per atom
ΔE to the lowest computed polymorph   0.580 eV/atom
Total energy   -0.1617 hartree per atom
SG   P4/mmm, No. 123

=====

[10]
DFT (PBE) results for Cs2TbTlO4 after structural relaxation.

a = 6.492 Å, b = 6.492 Å, c = 6.470 Å
α = 120.12°, β = 120.12°, γ = 89.99°
Element x y z (fractional)
Tl 0.736 0.736 0.472
Cs 0.486 0.986 0.972
Cs 0.236 0.236 0.472
O 0.359 0.750 0.226
O 0.867 0.476 0.226
O 0.996 0.113 0.718
O 0.722 0.605 0.718
Tb 0.986 0.486 0.972

Output
Raw formation energy   -1.775 eV per atom
Total energy   -0.1963 hartree per atom
SG   I-4, No. 82

=====

[11]
DFT (PBE) results for MgNbCu after structural relaxation.

a = 4.300 Å, b = 4.300 Å, c = 4.300 Å
α = 60.00°, β = 60.00°, γ = 60.00°
Element x y z (fractional)
Mg 0.000 0.000 0.000
Nb 0.250 0.250 0.250
Cu 0.750 0.750 0.750

Output
ΔE to the lowest computed polymorph   1.050 eV/atom
Total energy   -0.1529 hartree per atom
SG   F-43m, No. 216

=====

[12]
DFT (PBE) results for SrTcAu after structural relaxation.

a = 4.975 Å, b = 4.975 Å, c = 4.975 Å
α = 60.00°, β = 60.00°, γ = 60.00°
Element x y z (fractional)
Sr 0.250 0.250 0.250
Au 0.500 0.500 0.500
Tc 0.000 0.000 0.000

Output
ΔE to the lowest computed polymorph   0.906 eV/atom
Total energy   -0.1425 hartree per atom
SG   F-43m, No. 216